(1)
This record from the Alexandria database describes an optimized crystal structure of ZnCu2. The functional is PBE-GGA.

## Properties
Its formation energy is 443 meV per atom. The calculation puts the magnetic moment at 0.00 Bohr magnetons per cell.

Cell lengths 6.390, 6.390, 2.493 Å; angles 90.00, 90.00, 90.00 degrees
Space group P4_2/mnm (No. 136)
Symmetry-distinct sites (fractional):
Zn  0.000  0.000  0.000 (multiplicity 2)
Cu  0.236  0.236  0.500 (multiplicity 4)

---

(2)
This record from the Alexandria database describes an optimized crystal structure of Zn3Cu13. The functional is PBE-GGA.

## Properties
Its formation energy is -47 meV per atom. The calculation puts the magnetic moment at 0.00 Bohr magnetons per cell.

Cell lengths 7.225, 7.348, 7.425 Å; angles 90.00, 90.00, 90.00 degrees
Space group Amm2 (No. 38)
Symmetry-distinct sites (fractional):
Zn  0.000  0.000  0.000 (multiplicity 2)
Zn  0.254  0.000  0.262 (multiplicity 4)
Cu  0.000  0.000  0.511 (multiplicity 2)
Cu  0.000  0.250  0.257 (multiplicity 4)
Cu  0.252  0.000  0.756 (multiplicity 4)
Cu  0.252  0.250  0.008 (multiplicity 8)
Cu  0.500  0.000  0.006 (multiplicity 2)
Cu  0.500  0.000  0.511 (multiplicity 2)
Cu  0.500  0.248  0.758 (multiplicity 4)

---

(3)
This record from the Alexandria database describes an optimized crystal structure of Zn7Cu. The functional is PBE-GGA.

## Properties
Its formation energy is -4 meV per atom. The calculation puts the magnetic moment at 0.00 Bohr magnetons per cell.

Cell lengths 7.740, 7.740, 7.740 Å; angles 90.00, 90.00, 90.00 degrees
Space group Fm-3m (No. 225)
Symmetry-distinct sites (fractional):
Zn  0.000  0.000  0.000 (multiplicity 4)
Zn  0.000  0.250  0.250 (multiplicity 24)
Cu  0.000  0.000  0.500 (multiplicity 4)